# 1
Here is an optimized crystal structure of Ti2PdBr from the Alexandria database. Energies are from PBEsol.

Lattice parameters (Å, degrees): 4.4886 4.4886 4.4886 60.00 60.00 60.00
With the nearest neighbours (Å) after each atom.
Fractional positions:
Br 0.0000 0.0000 0.0000  8 Ti 2.75
Pd 0.5000 0.5000 0.5000  8 Ti 2.75
Ti 0.2500 0.2500 0.2500  4 Br 2.75, 4 Pd 2.75
Ti 0.7500 0.7500 0.7500  4 Br 2.75, 4 Pd 2.75

Values from the calculation:
- Calculated density: 7324 kg/m³
- Energy relative to the elements, uncorrected: -0.145 eV/atom
- SG: Fm-3m (225)
- Total energy: -6.263 eV per atom

---

# 2
Here is an optimized crystal structure of Zn3Ru4 from the Alexandria database. Energies are from PBEsol.

Lattice parameters (Å, degrees): 2.7615 2.7615 12.4063 96.39 96.39 90.00
With the nearest neighbours (Å) after each atom.
Fractional positions:
Ru 0.1417 0.1417 0.2834  8 Ru 2.56-2.76, 4 Zn 2.63
Ru 0.4256 0.4256 0.8511  8 Ru 2.56-2.76, 4 Zn 2.67
Ru 0.5744 0.5744 0.1489  8 Ru 2.56-2.76, 4 Zn 2.67
Ru 0.8583 0.8583 0.7166  8 Ru 2.56-2.76, 4 Zn 2.63
Zn 0.0000 0.0000 0.0000  8 Ru 2.67, 4 Zn 2.76
Zn 0.2862 0.2862 0.5724  4 Ru 2.63, 8 Zn 2.64-2.76
Zn 0.7138 0.7138 0.4276  4 Ru 2.63, 8 Zn 2.64-2.76

Values from the calculation:
- Calculated density: 10673 kg/m³
- SG: I4/mmm (139)
- Total energy: -6.513 eV per atom
- Calculated formation energy: -2.2 kJ per mole of atoms

---

# 3
Here is an optimized crystal structure of Tl2SiW from the Alexandria database. Energies are from PBEsol.

Lattice parameters (Å, degrees): 3.2364 3.2364 8.0331 90.00 90.00 90.00
With the nearest neighbours (Å) after each atom.
Fractional positions:
Si 0.5000 0.5000 0.6822  4 W 2.50
Tl 0.0000 0.0000 0.9592  4 Si 3.19, 1 W 3.23, 4 Tl 3.24
Tl 0.5000 0.5000 0.3017  1 Si 3.06, 4 W 3.07, 4 Tl 3.24
W 0.0000 0.0000 0.5569  4 Si 2.50

Values from the calculation:
- Calculated density: 12250 kg/m³
- Energy relative to the elements, uncorrected: 0.439 eV/atom
- Energy above the most stable polymorph in this dataset: 0.00 eV/f.u.
- SG: P4mm (99)
- Total energy: -5.764 eV per atom

---

# 4
Here is an optimized crystal structure of KMn2Tl from the Alexandria database. Energies are from PBEsol.

Lattice parameters (Å, degrees): 5.0681 5.0681 5.0681 60.00 60.00 60.00
With the nearest neighbours (Å) after each atom.
Fractional positions:
K 0.5000 0.5000 0.5000  4 Tl 3.10, 4 Mn 3.10
Mn 0.0000 0.0000 0.0000  4 Tl 3.10, 4 Mn 3.10
Mn 0.7500 0.7500 0.7500  4 Mn 3.10, 4 K 3.10
Tl 0.2500 0.2500 0.2500  4 Mn 3.10, 4 K 3.10

Values from the calculation:
- Calculated density: 6374 kg/m³
- Energy above the most stable polymorph in this dataset: 1.92 eV/f.u.
- SG: F-43m (216)
- Total energy: -4.802 eV per atom
- Calculated formation energy: 98.3 kJ per mole of atoms

---

# 5
Here is an optimized crystal structure of BSbTe2Pd from the Alexandria database. Energies are from PBEsol.

Lattice parameters (Å, degrees): 4.9820 5.2973 5.2973 90.00 90.00 90.00
With the nearest neighbours (Å) after each atom.
Fractional positions:
Sb 0.5000 0.0000 0.0000  2 Pd 2.49
B 0.5000 0.5000 0.5000  8 Te 3.64, 4 Sb 3.75
Te 0.0000 0.0000 0.5000  2 Pd 2.65
Te 0.0000 0.5000 0.0000  2 Pd 2.65
Pd 0.0000 0.0000 0.0000  2 Sb 2.49, 4 Te 2.65

Values from the calculation:
- Calculated density: 5870 kg/m³
- Energy relative to the elements, uncorrected: 1.220 eV/atom
- SG: P4/mmm (123)
- Total energy: -3.697 eV per atom

---

# 6
Here is an optimized crystal structure of LaOs2W from the Alexandria database. Energies are from PBEsol.

Lattice parameters (Å, degrees): 2.8241 2.8241 10.1458 82.00 82.00 60.00
With the nearest neighbours (Å) after each atom.
Fractional positions:
La 0.2520 0.2520 0.2439  6 La 2.82
Os 0.0118 0.0118 0.9647  9 Os 2.66-2.82
Os 0.7482 0.7482 0.7554  9 Os 2.66-2.82, 3 W 2.74
W 0.4880 0.4880 0.5360  3 Os 2.74, 6 W 2.82

Values from the calculation:
- Calculated density: 16883 kg/m³
- Energy above the most stable polymorph in this dataset: 0.00 eV/f.u.
- SG: R3m (160)
- Total energy: -10.260 eV per atom
- Calculated formation energy: 61.4 kJ per mole of atoms

---

# 7
Here is an optimized crystal structure of Mg2SbSe from the Alexandria database. Energies are from PBEsol.

Lattice parameters (Å, degrees): 3.4556 5.0395 5.0395 95.93 90.00 90.00
With the nearest neighbours (Å) after each atom.
Fractional positions:
Mg 0.0000 0.5000 0.0000  4 Sb 3.06, 4 Se 3.06, 2 Mg 3.37
Mg 0.0000 0.0000 0.5000  4 Se 3.06, 4 Sb 3.06, 2 Mg 3.37
Sb 0.5000 0.0000 0.0000  8 Mg 3.06, 2 Se 3.37
Se 0.5000 0.5000 0.5000  8 Mg 3.06, 2 Sb 3.37

Values from the calculation:
- Calculated density: 4743 kg/m³
- Energy relative to the elements, uncorrected: -0.370 eV/atom
- Energy above the most stable polymorph in this dataset: 1.41 eV/f.u.
- SG: Cmmm (65)
- Total energy: -3.330 eV per atom

---

# 8
Here is an optimized crystal structure of LaFe2Mo2 from the Alexandria database. Energies are from PBEsol.

Lattice parameters (Å, degrees): 4.1355 4.1355 5.8377 110.74 110.74 90.00
With the nearest neighbours (Å) after each atom.
Fractional positions:
Mo 0.3651 0.3651 0.7301  4 Fe 2.37
Mo 0.6349 0.6349 0.2699  4 Fe 2.37
Fe 0.2500 0.7500 0.5000  4 Mo 2.37
Fe 0.7500 0.2500 0.5000  4 Mo 2.37
La 0.0000 0.0000 0.0000  8 Mo 3.23, 8 Fe 3.26

Values from the calculation:
- Calculated density: 8503 kg/m³
- SG: I4/mmm (139)
- Total energy: -9.000 eV per atom
- Calculated formation energy: 34.9 kJ per mole of atoms

---

# 9
Here is an optimized crystal structure of CrIrW3 from the Alexandria database. Energies are from PBEsol.

Lattice parameters (Å, degrees): 4.6993 4.6993 4.6993 90.00 90.00 90.00
With the nearest neighbours (Å) after each atom.
Fractional positions:
Cr 0.5000 0.5000 0.5000  12 W 3.32
Ir 0.0000 0.0000 0.0000  6 W 2.35
W 0.0000 0.5000 0.0000  2 Ir 2.35
W 0.0000 0.0000 0.5000  2 Ir 2.35
W 0.5000 0.0000 0.0000  2 Ir 2.35

Values from the calculation:
- Calculated density: 12732 kg/m³
- SG: Pm-3m (221)
- Total energy: -10.062 eV per atom
- Calculated formation energy: 215.7 kJ per mole of atoms

---

# 10
Here is an optimized crystal structure of IrAuSe2N from the Alexandria database. Energies are from PBEsol.

Lattice parameters (Å, degrees): 3.5869 5.0768 5.0768 90.00 90.00 90.00
With the nearest neighbours (Å) after each atom.
Fractional positions:
Ir 0.5000 0.5000 0.5000  8 Se 3.11
Au 0.0000 0.0000 0.0000  2 N 1.79
Se 0.0000 0.0000 0.5000  2 Au 2.54
Se 0.0000 0.5000 0.0000  2 Au 2.54
N 0.5000 0.0000 0.0000  2 Au 1.79

Values from the calculation:
- Calculated density: 10078 kg/m³
- Energy relative to the elements, uncorrected: 1.568 eV/atom
- SG: P4/mmm (123)
- Total energy: -4.427 eV per atom

---

# 11
Here is an optimized crystal structure of KEuC2O6 from the Alexandria database. Energies are from PBEsol.

Lattice parameters (Å, degrees): 6.4847 6.4847 6.9901 102.63 102.63 99.11
With the nearest neighbours (Å) after each atom.
Fractional positions:
K 0.3725 0.6275 0.7500  8 O 2.78-2.99
K 0.6275 0.3725 0.2500  8 O 2.78-2.99
Eu 0.9038 0.0962 0.7500  8 O 2.33-2.53
Eu 0.0962 0.9038 0.2500  8 O 2.33-2.53
C 0.3565 0.1089 0.7585  3 O 1.28-1.31
C 0.6435 0.8911 0.2415  3 O 1.28-1.31
C 0.8911 0.6435 0.7415  3 O 1.28-1.31
C 0.1089 0.3565 0.2585  3 O 1.28-1.31
O 0.5531 0.0909 0.7838  1 C 1.28
O 0.4469 0.9091 0.2162  1 C 1.28
O 0.9091 0.4469 0.7162  1 C 1.28
O 0.0909 0.5531 0.2838  1 C 1.28
O 0.2977 0.2539 0.8800  1 C 1.29
O 0.7023 0.7461 0.1200  1 C 1.29
O 0.7461 0.7023 0.6200  1 C 1.29
O 0.2539 0.2977 0.3800  1 C 1.29
O 0.2043 0.9720 0.6098  1 C 1.31
O 0.7957 0.0280 0.3902  1 C 1.31
O 0.0280 0.7957 0.8902  1 C 1.31
O 0.9720 0.2043 0.1098  1 C 1.31

Values from the calculation:
- Calculated density: 3781 kg/m³
- Energy relative to the elements, uncorrected: -1.995 eV/atom
- SG: C2/c (15)
- Total energy: -8.243 eV per atom

---

# 12
Here is an optimized crystal structure of KSbP3 from the Alexandria database. Energies are from PBEsol.

Lattice parameters (Å, degrees): 5.0177 5.0177 5.0177 90.00 90.00 90.00
With the nearest neighbours (Å) after each atom.
Fractional positions:
Sb 0.5000 0.5000 0.5000  12 P 3.55
K 0.0000 0.0000 0.0000  6 P 2.51
P 0.0000 0.5000 0.0000  2 K 2.51
P 0.0000 0.0000 0.5000  2 K 2.51
P 0.5000 0.0000 0.0000  2 K 2.51

Values from the calculation:
- Calculated density: 3336 kg/m³
- Energy relative to the elements, uncorrected: 1.893 eV/atom
- SG: Pm-3m (221)
- Total energy: -2.719 eV per atom